[1]
TaSiPt after structural relaxation. Source: the Alexandria database, functional PBEsol. Values from VASP.

```
&SYSTEM
  ibrav = 0, nat = 12, ntyp = 3
/
ATOMIC_SPECIES
Ta 180.95 Ta.upf
Si 28.09 Si.upf
Pt 195.08 Pt.upf
CELL_PARAMETERS angstrom
-3.1294 1.6498 -1.3987
-1.0371 -5.1000 -3.6952
-4.0105 -3.0657 5.3569
ATOMIC_POSITIONS angstrom
Ta -4.0154 -4.2339 -3.7698
Ta -3.9910 -4.3052 1.2646
Ta -4.1860 -2.2107 -1.0016
Ta -4.1616 -2.2820 4.0328
Si -3.0819 -4.6586 -1.1862
Si -1.5651 -1.3455 -0.6720
Si -6.6120 -5.1704 0.9350
Si -5.0951 -1.8573 1.4492
Pt -5.5032 -4.8236 -1.1368
Pt -6.4451 -3.3900 2.6616
Pt -2.6739 -1.6922 1.3997
Pt -1.7319 -3.1258 -2.3986
```

Properties
- SG = Pnma, No. 62

---

[2]
Ta2SiPt after structural relaxation. Source: the Alexandria database, functional PBEsol. Values from VASP.

```
&SYSTEM
  ibrav = 0, nat = 4, ntyp = 3
/
ATOMIC_SPECIES
Pt 195.08 Pt.upf
Ta 180.95 Ta.upf
Si 28.09 Si.upf
CELL_PARAMETERS angstrom
2.8080 0.0000 0.0086
0.0000 4.1045 0.0000
-0.4031 0.0000 5.3787
ATOMIC_POSITIONS angstrom
Pt 1.4040 2.0522 0.0043
Ta 0.0020 0.0000 1.3857
Ta 2.4029 0.0000 4.0016
Si 1.2024 2.0522 2.6936
```

Properties
- SG = P2/m, No. 10

---

[3]
TbSi2Pt2 after structural relaxation. Source: the Alexandria database, functional PBEsol. Values from VASP.

```
&SYSTEM
  ibrav = 0, nat = 5, ntyp = 3
/
ATOMIC_SPECIES
Pt 195.08 Pt.upf
Si 28.09 Si.upf
Tb 158.93 Tb.upf
CELL_PARAMETERS angstrom
-0.5280 -3.9450 -1.0065
3.1769 -1.0340 2.3860
-4.4015 1.9191 3.1603
ATOMIC_POSITIONS angstrom
Pt -1.8026 -2.2577 1.4218
Pt 0.0499 -0.8022 3.1180
Si 0.6096 -2.6220 1.5841
Si -2.3623 -0.4379 2.9557
Tb 0.0000 0.0000 0.0000
```

Properties
- SG = I4/mmm, No. 139

---

[4]
TbSiPt after structural relaxation. Source: the Alexandria database, functional PBEsol. Values from VASP.

```
&SYSTEM
  ibrav = 0, nat = 12, ntyp = 3
/
ATOMIC_SPECIES
Si 28.09 Si.upf
Pt 195.08 Pt.upf
Tb 158.93 Tb.upf
CELL_PARAMETERS angstrom
4.2631 0.0000 0.0000
0.0000 6.9494 0.0000
0.0000 0.0000 7.3845
ATOMIC_POSITIONS angstrom
Si 1.0658 2.1945 6.7423
Si 3.1973 4.7548 0.6422
Si 3.1973 1.2802 3.0501
Si 1.0658 5.6692 4.3345
Pt 3.1973 5.5731 3.0551
Pt 1.0658 4.8510 6.7474
Pt 1.0658 1.3763 4.3294
Pt 3.1973 2.0984 0.6372
Tb 1.0658 3.4475 2.2277
Tb 3.1973 0.0272 5.9200
Tb 3.1973 3.5019 5.1568
Tb 1.0658 6.9222 1.4645
```

Properties
- SG = Pnma, No. 62

---

[5]
TbSiPt2 after structural relaxation. Source: the Alexandria database, functional PBEsol. Values from VASP.

```
&SYSTEM
  ibrav = 0, nat = 16, ntyp = 3
/
ATOMIC_SPECIES
Tb 158.93 Tb.upf
Si 28.09 Si.upf
Pt 195.08 Pt.upf
CELL_PARAMETERS angstrom
-3.8419 2.3132 -3.1101
-4.0518 -5.5145 0.9037
-2.9041 3.0994 5.8926
ATOMIC_POSITIONS angstrom
Tb -5.8673 2.2556 0.6379
Tb -4.9305 -2.3575 3.0483
Tb -3.5285 0.1720 -1.5906
Tb -7.2693 -0.2739 5.2768
Si -6.7055 -1.7663 -1.3024
Si -4.0924 1.6644 4.9886
Si -3.5145 0.6410 1.3346
Si -7.2833 -0.7430 2.3516
Pt -3.7517 2.7695 2.7860
Pt -9.7131 -0.5902 2.8630
Pt -1.0847 0.4883 0.8232
Pt -2.6945 -1.7027 1.1823
Pt -7.0461 -2.8714 0.9002
Pt -8.1033 1.6008 2.5039
Pt -5.4363 -0.6805 0.5411
Pt -5.3616 0.5785 3.1450
```

Properties
- SG = Pnma, No. 62

---

[6]
Si2TcPt after structural relaxation. Source: the Alexandria database, functional PBEsol. Values from VASP.

```
&SYSTEM
  ibrav = 0, nat = 4, ntyp = 3
/
ATOMIC_SPECIES
Si 28.09 Si.upf
Tc 98.00 Tc.upf
Pt 195.08 Pt.upf
CELL_PARAMETERS angstrom
2.8874 0.0000 0.0000
-1.4437 3.9441 0.0094
0.0000 -1.0699 4.7870
ATOMIC_POSITIONS angstrom
Si 0.0000 1.6964 1.1043
Si 1.4437 1.1777 3.6922
Tc 1.4437 0.0000 0.0000
Pt 0.0000 -0.5350 2.3935
```

Properties
- SG = C2/m, No. 12

---

no.,Fermi-level density of states (states/eV per cell),formation energy (no corrections) (eV/f.u.)
1,6.02,-2.32
2,1.53,-2.06
3,3.41,-5.43
4,5.47,-3.70
5,6.11,-4.80
6,2.03,-1.61